CuNiN2F (PBE with a Hubbard U, optimized geometry); N(E_F) = 0.6658 states/eV per atom; SG = P4/mmm; energy above the most stable polymorph in this dataset = 114 meV/atom; V = 58 Å³ per cell; electronic total energy = -3.92 eV per atom; crystal system = tetragonal
1.0
-3.379 0.944 0.857
-1.063 -3.427 -0.415
0.874 -0.794 4.319
Cu Ni N F
1 1 2 1
Cartesian
0.000 0.000 0.000
-1.784 -1.639 2.381
-0.531 -1.713 -0.208
-1.690 0.472 0.429
0.437 -0.397 2.160